[1]
{"formula": "LaSmRhBr", "functional": "PBE", "state": "relaxed", "lattice_angstrom": [[4.107, -0.001, 0.000], [-2.053, 3.557, 0.000], [-2.053, -1.185, 7.964]], "species": ["La", "Sm", "Rh", "Br"], "fractional_positions": [[0.509, 0.152, 0.677], [0.101, 0.948, 0.065], [0.306, 0.551, 0.872], [0.962, 0.379, 0.356]], "energy_ev_per_cell": -23.153, "total_magnetization_mub_per_fu": 0.001}

***

[2]
{"formula": "SrLaRhBr", "functional": "PBE", "state": "relaxed", "lattice_angstrom": [[4.197, -0.001, 0.000], [-2.098, 3.635, 0.000], [-2.098, -1.211, 8.119]], "species": ["Sr", "La", "Rh", "Br"], "fractional_positions": [[0.494, 0.145, 0.654], [0.098, 0.947, 0.061], [0.320, 0.558, 0.893], [0.966, 0.381, 0.362]], "energy_ev_per_cell": -19.917, "total_magnetization_mub_per_fu": 0.000}